YAgTePbS2: optimized geometry, PBE.

Cell: 7.3395 7.3395 11.1879 Å, 90.00 90.00 147.68°
Fractional coordinates of all 12 atoms:
Ag1 0.9792 0.0208 0.2500
Ag2 0.0208 0.9792 0.7500
Y1 0.5000 0.5000 0.5000
Y2 0.5000 0.5000 0.0000
Pb1 0.7080 0.2920 0.7500
Pb2 0.2920 0.7080 0.2500
Te1 0.3854 0.6146 0.7500
Te2 0.6146 0.3854 0.2500
S1 0.8764 0.1236 0.0651
S2 0.1236 0.8764 0.5651
S3 0.1236 0.8764 0.9349
S4 0.8764 0.1236 0.4349

calculated total energy	-4.96	eV/atom
volume	26.85	Å³/atom
total moment	0.0	μB/cell